Model w:
BaMnTeN2, relaxed, DFT PBE; N(E_F) = 18.6 states/eV/f.u.; volume = 29.69 A^3/atom; M_tot = 0.19 μB per atom
1.0
-1.732 -4.025 1.170
4.023 -1.241 1.686
-1.872 2.677 6.437
Mn Te Ba N
1 1 1 2
Direct
0.500 0.500 0.500
0.000 0.000 0.500
0.000 0.000 0.000
0.000 0.500 0.000
0.500 0.000 0.000

***

Model x:
BaMnTeN2, relaxed, DFT PBE; N(E_F) = 5.9 states/eV/f.u.; volume = 18.70 A^3/atom; M_tot = 0.00 μB per atom
1.0
4.225 0.000 0.000
0.000 4.225 0.000
0.000 0.000 5.237
Te N Mn Ba
1 2 1 1
Direct
0.000 0.000 0.500
0.500 0.000 0.000
0.000 0.500 0.000
0.000 0.000 0.000
0.500 0.500 0.500

***

Least stable: model w

***

Model w:
BaNaMn2, relaxed, DFT PBE; N(E_F) = 5.7 states/eV/f.u.; volume = 29.59 A^3/atom; M_tot = 2.07 μB per atom
1.0
0.000 3.897 3.897
3.897 0.000 3.897
3.897 3.897 0.000
Mn Ba Na
2 1 1
Direct
0.250 0.250 0.250
0.750 0.750 0.750
0.500 0.500 0.500
0.000 0.000 0.000

***

Model x:
BaNaMn2, relaxed, DFT PBE; N(E_F) = 7.7 states/eV/f.u.; volume = 28.84 A^3/atom; M_tot = 1.94 μB per atom
1.0
8.684 0.000 0.000
0.000 8.684 0.000
4.342 4.342 3.060
Mn Ba Na
4 2 2
Direct
0.146 0.625 0.250
0.604 0.125 0.250
0.875 0.854 0.750
0.375 0.396 0.750
0.750 0.250 0.500
0.000 0.000 0.000
0.500 0.500 0.000
0.250 0.750 0.500

***

Least stable: model x

***

Model w:
BaMnNb3, relaxed, DFT PBE; N(E_F) = 9.4 states/eV/f.u.; volume = 22.72 A^3/atom; M_tot = 0.00 μB per atom
1.0
4.843 0.000 0.000
0.000 4.843 0.000
0.000 0.000 4.843
Ba Nb Mn
1 3 1
Direct
0.500 0.500 0.500
0.500 0.000 0.000
0.000 0.500 0.000
0.000 0.000 0.500
0.000 0.000 0.000

***

Model x:
BaMnNb3, relaxed, DFT PBE; N(E_F) = 4.2 states/eV/f.u.; volume = 25.83 A^3/atom; M_tot = 0.90 μB per atom
1.0
-1.180 4.256 2.458
-4.702 -1.713 0.709
1.430 -2.122 4.359
Mn Nb Ba
1 3 1
Direct
0.500 0.500 0.500
0.500 0.000 0.000
0.000 0.000 0.500
0.000 0.500 0.000
0.000 0.000 0.000

***

Least stable: model x

***

Model w:
Ba2Mn2Nb, relaxed, DFT PBE; N(E_F) = 6.1 states/eV/f.u.; volume = 24.18 A^3/atom; M_tot = 0.32 μB per atom
1.0
3.221 0.000 0.000
0.000 3.221 0.000
1.610 1.610 11.657
Ba Nb Mn
2 1 2
Direct
0.621 0.621 0.757
0.379 0.379 0.243
0.000 0.000 0.000
0.750 0.250 0.500
0.250 0.750 0.500

***

Model x:
Ba2Mn2Nb, relaxed, DFT PBE; N(E_F) = 5.8 states/eV/f.u.; volume = 28.90 A^3/atom; M_tot = 1.96 μB per atom
1.0
9.056 0.000 0.000
0.000 9.056 0.000
0.000 0.000 3.524
Nb Ba Mn
2 4 4
Direct
0.000 0.000 0.000
0.500 0.500 0.000
0.360 0.860 0.000
0.640 0.140 0.000
0.860 0.640 0.000
0.140 0.360 0.000
0.333 0.167 0.500
0.833 0.333 0.500
0.667 0.833 0.500
0.167 0.667 0.500

***

Least stable: model x